MgAlIn | PBE | optimized geometry

Properties
ΔH_f (0 K) = 0.05 eV/atom
mass density = 4.289 g/cm³
density of states at the Fermi level = 2.4 states/eV per cell

POSCAR file:
```
MgAlIn
1.0
4.411 0.056 0.094
2.127 4.899 -0.029
-0.152 2.003 5.952
Mg Al In
2 2 2
Direct
0.886 0.240 0.368
0.565 0.882 0.721
0.559 0.896 0.207
0.230 0.552 0.055
0.218 0.576 0.531
0.900 0.213 0.889
```